The following is a DFT calculation (PBE) of a relaxed Ac3As2Pd9Au crystal.

DOS at the Fermi energy   0.463 states/eV per atom
Space-group type   P-3m1
Energy of formation from the pure elements   -614.6 meV/atom

a = 6.317 Å, b = 6.317 Å, c = 10.213 Å
α = 90.00°, β = 90.00°, γ = 120.00°
Element x y z (fractional)
Ac 0.000 0.000 0.000
Ac 0.333 0.667 0.703
Ac 0.667 0.333 0.297
As 0.333 0.667 0.164
As 0.667 0.333 0.836
Pd 0.000 0.500 0.000
Pd 0.146 0.291 0.284
Pd 0.146 0.854 0.284
Pd 0.291 0.146 0.716
Pd 0.500 0.000 0.000
Pd 0.500 0.500 0.000
Pd 0.709 0.854 0.284
Pd 0.854 0.146 0.716
Pd 0.854 0.709 0.716
Au 0.000 0.000 0.500